# GGA-PBE NdPaPb2O8, relaxed
# Raw formation energy in eV per atom: -2.0540
# ρ in g cm⁻³: 7.72
data_NdPaPb2O8
_space_group_name_H-M_alt 'I -4 m 2'
_space_group_IT_number 119
_space_group_name_Hall 'I -4 -2'
_cell_length_a 7.380
_cell_length_b 7.380
_cell_length_c 7.252
_cell_angle_alpha 90.00
_cell_angle_beta 90.00
_cell_angle_gamma 90.00
loop_
_atom_site_label
_atom_site_fract_x
_atom_site_fract_y
_atom_site_fract_z
_atom_site_occupancy
Nd1 0.000 0.000 0.000 1
Pa1 0.000 0.500 0.750 1
Pb1 0.000 0.000 0.500 1
Pb2 0.000 0.500 0.250 1
O1 0.000 0.197 0.706 1
O2 0.000 0.321 0.028 1

***

# GGA-PBE BaTcAu2, relaxed
# ρ in g cm⁻³: 9.63
# Formation energy from the elements in eV/atom: 0.081
# Polymorph energy (0 for the lowest one) in meV per atom: 31
data_BaTcAu2
_space_group_name_H-M_alt 'C 1 m 1'
_space_group_IT_number 8
_cell_length_a 8.097
_cell_length_b 4.673
_cell_length_c 6.331
_cell_angle_alpha 90.00
_cell_angle_beta 115.07
_cell_angle_gamma 90.00
loop_
_space_group_symop_operation_xyz
'x,y,z'
'x,-y,z'
'x+1/2,y+1/2,z'
'x+1/2,-y+1/2,z'
loop_
_atom_site_label
_atom_site_fract_x
_atom_site_fract_y
_atom_site_fract_z
_atom_site_occupancy
Ba1 0.000 0.000 0.000 1
Tc1 0.184 0.000 0.550 1
Au1 0.015 0.500 0.544 1
Au2 0.312 0.500 0.433 1

***

# GGA-PBE CdFeSN2, relaxed
# Raw formation energy in eV per atom: 1.9970
# ρ in g cm⁻³: 4.08
# Polymorph energy (0 for the lowest one) in meV per atom: 1369
data_CdFeSN2
_space_group_name_H-M_alt 'P 4/m m m'
_space_group_IT_number 123
_space_group_name_Hall '-P 4 2'
_cell_length_a 4.102
_cell_length_b 4.102
_cell_length_c 5.516
_cell_angle_alpha 90.00
_cell_angle_beta 90.00
_cell_angle_gamma 90.00
loop_
_atom_site_label
_atom_site_fract_x
_atom_site_fract_y
_atom_site_fract_z
_atom_site_occupancy
Cd1 0.000 0.000 0.000 1
Fe1 0.500 0.500 0.500 1
S1 0.000 0.000 0.500 1
N1 0.000 0.500 0.000 1

***

# GGA-PBE Hg3I, relaxed
# Raw formation energy in eV per atom: -0.0946
# ρ in g cm⁻³: 8.64
# Polymorph energy (0 for the lowest one) in meV per atom: 9
data_Hg3I
_space_group_name_H-M_alt 'P -1'
_space_group_IT_number 2
_cell_length_a 5.541
_cell_length_b 6.892
_cell_length_c 8.000
_cell_angle_alpha 74.60
_cell_angle_beta 87.44
_cell_angle_gamma 72.08
loop_
_space_group_symop_operation_xyz
'x,y,z'
'-x,-y,-z'
loop_
_atom_site_label
_atom_site_fract_x
_atom_site_fract_y
_atom_site_fract_z
_atom_site_occupancy
Hg1 0.000 0.000 0.000 1
Hg2 0.173 0.308 0.194 1
Hg3 0.203 0.776 0.584 1
Hg4 0.500 0.500 0.000 1
I1 0.411 0.206 0.674 1

***

# GGA-PBE Ac4RhAu3, relaxed
# ρ in g cm⁻³: 10.32
# Formation energy from the elements in eV/atom: -0.785
# Polymorph energy (0 for the lowest one) in meV per atom: 0
data_Ac4RhAu3
_space_group_name_H-M_alt 'P 1 2/c 1'
_space_group_IT_number 13
_cell_length_a 7.850
_cell_length_b 9.018
_cell_length_c 7.714
_cell_angle_alpha 90.00
_cell_angle_beta 109.35
_cell_angle_gamma 90.00
loop_
_space_group_symop_operation_xyz
'x,y,z'
'-x,-y,-z'
'-x,y,-z+1/2'
'x,-y,z+1/2'
loop_
_atom_site_label
_atom_site_fract_x
_atom_site_fract_y
_atom_site_fract_z
_atom_site_occupancy
Ac1 0.231 0.117 0.002 1
Ac2 0.238 0.360 0.486 1
Rh1 0.000 0.124 0.250 1
Au1 0.000 0.377 0.750 1
Au2 0.500 0.125 0.750 1
Au3 0.500 0.381 0.250 1

***

# GGA-PBE TeIrAu2, relaxed
# Raw formation energy in eV per atom: 0.5246
# ρ in g cm⁻³: 15.02
data_TeIrAu2
_space_group_name_H-M_alt 'R -3 m'
_space_group_IT_number 166
_space_group_name_Hall '-R 3 2"'
_cell_length_a 2.9770
_cell_length_b 2.9770
_cell_length_c 30.8481
_cell_angle_alpha 90.00
_cell_angle_beta 90.00
_cell_angle_gamma 120.00
loop_
_atom_site_label
_atom_site_fract_x
_atom_site_fract_y
_atom_site_fract_z
_atom_site_occupancy
Te1 0.0000 0.0000 0.0000 1
Ir1 0.0000 0.0000 0.5000 1
Au1 0.0000 0.0000 0.2400 1

***

# GGA-PBE V2HPtW, relaxed
# ρ in g cm⁻³: 13.26
# Polymorph energy (0 for the lowest one) in meV per atom: 0
data_V2HPtW
_space_group_name_H-M_alt 'P 4/m m m'
_space_group_IT_number 123
_space_group_name_Hall '-P 4 2'
_cell_length_a 3.946
_cell_length_b 3.946
_cell_length_c 3.875
_cell_angle_alpha 90.00
_cell_angle_beta 90.00
_cell_angle_gamma 90.00
loop_
_atom_site_label
_atom_site_fract_x
_atom_site_fract_y
_atom_site_fract_z
_atom_site_occupancy
V1 0.000 0.500 0.000 1
H1 0.000 0.000 0.000 1
Pt1 0.500 0.500 0.500 1
W1 0.000 0.000 0.500 1

***

# GGA-PBE BeTe2Cl, relaxed
# Raw formation energy in eV per atom: 0.5312
# ρ in g cm⁻³: 4.39
# Polymorph energy (0 for the lowest one) in meV per atom: 885
data_BeTe2Cl
_space_group_name_H-M_alt 'P 4/m m m'
_space_group_IT_number 123
_space_group_name_Hall '-P 4 2'
_cell_length_a 4.098
_cell_length_b 4.098
_cell_length_c 6.750
_cell_angle_alpha 90.00
_cell_angle_beta 90.00
_cell_angle_gamma 90.00
loop_
_atom_site_label
_atom_site_fract_x
_atom_site_fract_y
_atom_site_fract_z
_atom_site_occupancy
Be1 0.000 0.000 0.000 1
Te1 0.000 0.500 0.500 1
Cl1 0.500 0.500 0.000 1

***

# GGA-PBE Th2CuP2O, relaxed
# Raw formation energy in eV per atom: -0.2311
# ρ in g cm⁻³: 6.30
data_Th2CuP2O
_space_group_name_H-M_alt 'P 4/m m m'
_space_group_IT_number 123
_space_group_name_Hall '-P 4 2'
_cell_length_a 3.352
_cell_length_b 3.352
_cell_length_c 14.193
_cell_angle_alpha 90.00
_cell_angle_beta 90.00
_cell_angle_gamma 90.00
loop_
_atom_site_label
_atom_site_fract_x
_atom_site_fract_y
_atom_site_fract_z
_atom_site_occupancy
Th1 0.000 0.000 0.150 1
Cu1 0.000 0.000 0.500 1
P1 0.000 0.000 0.347 1
O1 0.000 0.000 0.000 1

***

# GGA-PBE GdThScOs, relaxed
# ρ in g cm⁻³: 11.01
# Formation energy from the elements in eV/atom: 0.025
data_GdThScOs
_space_group_name_H-M_alt 'F -4 3 m'
_space_group_IT_number 216
_space_group_name_Hall 'F -4 2 3'
_cell_length_a 7.222
_cell_length_b 7.222
_cell_length_c 7.222
_cell_angle_alpha 90.00
_cell_angle_beta 90.00
_cell_angle_gamma 90.00
loop_
_atom_site_label
_atom_site_fract_x
_atom_site_fract_y
_atom_site_fract_z
_atom_site_occupancy
Gd1 0.000 0.000 0.000 1
Th1 0.000 0.000 0.500 1
Sc1 0.250 0.250 0.250 1
Os1 0.250 0.250 0.750 1

***

# GGA-PBE Cs2TlTcO4, relaxed
# Raw formation energy in eV per atom: -1.1741
# ρ in g cm⁻³: 4.15
data_Cs2TlTcO4
_space_group_name_H-M_alt 'F d d d'
_space_group_IT_number 70
_cell_length_a 6.730
_cell_length_b 13.285
_cell_length_c 22.615
_cell_angle_alpha 90.00
_cell_angle_beta 90.00
_cell_angle_gamma 90.00
loop_
_space_group_symop_operation_xyz
'x,y,z'
'-x,-y,-z'
'-x+1/4,-y+1/4,z'
'x+1/4,y+1/4,-z'
'x,-y+1/4,-z+1/4'
'-x,y+1/4,z+1/4'
'-x+1/4,y,-z+1/4'
'x+1/4,-y,z+1/4'
'x,y+1/2,z+1/2'
'-x,-y+1/2,-z+1/2'
'-x+1/4,-y+3/4,z+1/2'
'x+1/4,y+3/4,-z+1/2'
'x,-y+3/4,-z+3/4'
'-x,y+3/4,z+3/4'
'-x+1/4,y+1/2,-z+3/4'
'x+1/4,-y+1/2,z+3/4'
'x+1/2,y,z+1/2'
'-x+1/2,-y,-z+1/2'
'-x+3/4,-y+1/4,z+1/2'
'x+3/4,y+1/4,-z+1/2'
'x+1/2,-y+1/4,-z+3/4'
'-x+1/2,y+1/4,z+3/4'
'-x+3/4,y,-z+3/4'
'x+3/4,-y,z+3/4'
'x+1/2,y+1/2,z'
'-x+1/2,-y+1/2,-z'
'-x+3/4,-y+3/4,z'
'x+3/4,y+3/4,-z'
'x+1/2,-y+3/4,-z+1/4'
'-x+1/2,y+3/4,z+1/4'
'-x+3/4,y+1/2,-z+1/4'
'x+3/4,-y+1/2,z+1/4'
loop_
_atom_site_label
_atom_site_fract_x
_atom_site_fract_y
_atom_site_fract_z
_atom_site_occupancy
Cs1 0.125 0.125 0.311 1
Tl1 0.125 0.125 0.125 1
Tc1 0.125 0.125 0.625 1
O1 0.057 0.283 0.847 1

***

# GGA-PBE Pm2Al3Ni, relaxed
# ρ in g cm⁻³: 5.98
# Formation energy from the elements in eV/atom: -0.481
# Polymorph energy (0 for the lowest one) in meV per atom: 0
data_Pm2Al3Ni
_space_group_name_H-M_alt 'P 63/m m c'
_space_group_IT_number 194
_space_group_name_Hall '-P 6c 2c'
_cell_length_a 5.6512
_cell_length_b 5.6512
_cell_length_c 8.6323
_cell_angle_alpha 90.00
_cell_angle_beta 90.00
_cell_angle_gamma 120.00
loop_
_atom_site_label
_atom_site_fract_x
_atom_site_fract_y
_atom_site_fract_z
_atom_site_occupancy
Pm1 0.3333 0.6667 0.0658 1
Al1 0.1613 0.3226 0.7500 1
Ni1 0.0000 0.0000 0.0000 1

***

# GGA-PBE PmAlGaNi, relaxed
# ρ in g cm⁻³: 6.42
# Formation energy from the elements in eV/atom: -0.550
# Polymorph energy (0 for the lowest one) in meV per atom: 0
data_PmAlGaNi
_space_group_name_H-M_alt 'R 3 m'
_space_group_IT_number 160
_space_group_name_Hall 'R 3 -2"'
_cell_length_a 4.1129
_cell_length_b 4.1129
_cell_length_c 15.9063
_cell_angle_alpha 90.00
_cell_angle_beta 90.00
_cell_angle_gamma 120.00
loop_
_atom_site_label
_atom_site_fract_x
_atom_site_fract_y
_atom_site_fract_z
_atom_site_occupancy
Pm1 0.0000 0.0000 0.0000 1
Al1 0.0000 0.0000 0.7948 1
Ga1 0.0000 0.0000 0.2098 1
Ni1 0.0000 0.0000 0.4988 1

***

# GGA-PBE K2RbHgPd, relaxed
# ρ in g cm⁻³: 3.63
# Formation energy from the elements in eV/atom: -0.049
# Polymorph energy (0 for the lowest one) in meV per atom: 0
data_K2RbHgPd
_space_group_name_H-M_alt 'P 4/m m m'
_space_group_IT_number 123
_space_group_name_Hall '-P 4 2'
_cell_length_a 6.268
_cell_length_b 6.268
_cell_length_c 5.475
_cell_angle_alpha 90.00
_cell_angle_beta 90.00
_cell_angle_gamma 90.00
loop_
_atom_site_label
_atom_site_fract_x
_atom_site_fract_y
_atom_site_fract_z
_atom_site_occupancy
K1 0.000 0.500 0.000 1
Rb1 0.000 0.000 0.500 1
Hg1 0.500 0.500 0.500 1
Pd1 0.500 0.500 0.000 1

***

# GGA-PBE Cs4CdSn4, relaxed
# ρ in g cm⁻³: 3.56
# Formation energy from the elements in eV/atom: 0.033
data_Cs4CdSn4
_space_group_name_H-M_alt 'I -4 2 m'
_space_group_IT_number 121
_space_group_name_Hall 'I -4 2'
_cell_length_a 7.751
_cell_length_b 7.751
_cell_length_c 17.382
_cell_angle_alpha 90.00
_cell_angle_beta 90.00
_cell_angle_gamma 90.00
loop_
_atom_site_label
_atom_site_fract_x
_atom_site_fract_y
_atom_site_fract_z
_atom_site_occupancy
Cs1 0.176 0.176 0.366 1
Cd1 0.000 0.000 0.000 1
Sn1 0.130 0.130 0.146 1